VASP calculation (GGA-PBE) on an optimized crystal structure of FeOsPt2.

Results
Energy of formation from the pure elements (eV per atom): 0.048
Magnetic moment (Bohr magnetons per cell): 5.77

a b c (Å): 3.8253 3.8253 7.8757
angles (deg): 90.00 90.00 90.00
Last column: nearest neighbours and their distance in Å.
Space group I4/mmm (No. 139)
Unique sites:
Fe  0.0000  0.0000  0.0000  4 Os 2.70, 8 Pt 2.74
Os  0.0000  0.0000  0.5000  4 Fe 2.70, 8 Pt 2.74
Pt  0.0000  0.5000  0.2500  4 Pt 2.70, 4 Fe 2.74, 4 Os 2.74

VASP calculation (GGA-PBE) on an optimized crystal structure of Tb3SmY2As6.

Results
Energy of formation from the pure elements (eV per atom): -1.543
Magnetic moment (Bohr magnetons per cell): 0.00

a b c (Å): 7.1830 12.4389 7.1827
angles (deg): 90.00 109.45 90.00
Last column: nearest neighbours and their distance in Å.
Space group C2/m (No. 12)
Unique sites:
Tb  0.0000  0.0000  0.0000  6 As 2.91-2.94
Tb  0.0000  0.3340  0.0000  6 As 2.92-2.94
Sm  0.0000  0.5000  0.5000  6 As 2.95
Y  0.0000  0.1669  0.5000  6 As 2.93
As  0.2474  0.0000  0.7508  3 Tb 2.91-2.93, 2 Y 2.93, 1 Sm 2.95
As  0.2481  0.1681  0.2486  3 Tb 2.92-2.94, 2 Y 2.93, 1 Sm 2.95

VASP calculation (GGA-PBE) on an optimized crystal structure of Hf2BPdPt.

Results
Energy of formation from the pure elements (eV per atom): 0.248
Magnetic moment (Bohr magnetons per cell): 0.00

a b c (Å): 5.1136 5.1136 3.9074
angles (deg): 90.00 90.00 90.00
Last column: nearest neighbours and their distance in Å.
Space group P4/mmm (No. 123)
Unique sites:
Hf  0.0000  0.5000  0.0000  2 Pt 2.56
B  0.0000  0.0000  0.5000  2 Pt 1.95
Pd  0.5000  0.5000  0.5000  8 Hf 3.22
Pt  0.0000  0.0000  0.0000  2 B 1.95

- Which of these has the highest energy of formation from the pure elements?
  Hf2BPdPt

- What is the energy of formation from the pure elements in the second record?
  -1.543 eV per atom

- energy of formation from the pure elements of number 2 (Tb3SmY2As6)?
  -1.543 eV per atom